## i
{"formula": "NdHS2", "functional": "GGA-PBE", "state": "relaxed", "magmom_total_mub_per_fu": 0.00, "spacegroup": "Cmc2_1", "lattice": [[4.276, 0.000, 0.000], [0.000, 5.526, 0.000], [-2.138, 0.000, 8.803]], "species": ["Nd", "Nd", "H", "H", "S", "S", "S", "S"], "fractional_positions": [[0.680, 0.725, 0.360], [0.320, 0.225, 0.640], [0.032, 0.573, 0.064], [0.968, 0.073, 0.936], [0.289, 0.728, 0.579], [0.711, 0.228, 0.421], [0.072, 0.785, 0.145], [0.928, 0.285, 0.855]]}



## ii
{"formula": "NdHS2", "functional": "GGA-PBE", "state": "relaxed", "magmom_total_mub_per_fu": 0.00, "spacegroup": "P2_1/c", "lattice": [[-4.482, -2.567, 1.379], [-0.684, -2.644, -7.143], [4.875, -5.650, 1.625]], "species": ["Nd", "Nd", "Nd", "Nd", "H", "H", "H", "H", "S", "S", "S", "S", "S", "S", "S", "S"], "fractional_positions": [[0.835, 0.954, 0.700], [0.165, 0.454, 0.800], [0.165, 0.046, 0.300], [0.835, 0.546, 0.200], [0.392, 0.828, 0.049], [0.608, 0.172, 0.951], [0.608, 0.328, 0.451], [0.392, 0.672, 0.549], [0.143, 0.791, 0.001], [0.857, 0.291, 0.499], [0.857, 0.209, 0.999], [0.143, 0.709, 0.501], [0.327, 0.114, 0.674], [0.327, 0.386, 0.174], [0.673, 0.886, 0.326], [0.673, 0.614, 0.826]]}



## iii
{"formula": "NdHS2", "functional": "GGA-PBE", "state": "relaxed", "magmom_total_mub_per_fu": 0.00, "spacegroup": "R-3m", "lattice": [[-2.485, 2.988, 1.796], [-3.382, -1.161, 2.353], [1.565, 0.520, 6.401]], "species": ["H", "S", "S", "Nd"], "fractional_positions": [[0.000, 0.000, 0.000], [0.089, 0.089, 0.734], [0.911, 0.911, 0.266], [0.500, 0.500, 0.500]]}



So which one is most stable? That would be i, about 3.0 kJ/mol of atoms below the next structure.



## i
{"formula": "Nd2HS", "functional": "GGA-PBE", "state": "relaxed", "magmom_total_mub_per_fu": 0.41, "spacegroup": "R-3m", "lattice": [[3.927, 0.000, 0.000], [1.963, 3.401, 0.000], [1.963, 1.134, 6.324]], "species": ["H", "S", "Nd", "Nd"], "fractional_positions": [[0.500, 0.500, 0.500], [0.000, 0.000, 0.000], [0.247, 0.247, 0.259], [0.753, 0.753, 0.741]]}



## ii
{"formula": "Nd2HS", "functional": "GGA-PBE", "state": "relaxed", "magmom_total_mub_per_fu": 0.00, "spacegroup": "R3m", "lattice": [[-0.980, 2.844, -2.368], [-2.820, 2.404, 0.960], [3.229, 5.817, 2.555]], "species": ["Nd", "Nd", "H", "S"], "fractional_positions": [[0.086, 0.086, 0.742], [0.253, 0.253, 0.242], [0.492, 0.492, 0.524], [0.669, 0.669, 0.992]]}



So which one is most stable? That would be i, about 12.1 kJ/mol of atoms below the next structure.



## i
{"formula": "Nd2SbH", "functional": "GGA-PBE", "state": "relaxed", "magmom_total_mub_per_fu": 0.00, "spacegroup": "P2/c", "lattice": [[6.258, 0.000, 0.000], [0.000, 6.305, 0.018], [0.000, -0.881, 10.218]], "species": ["Nd", "Nd", "Nd", "Nd", "Nd", "Nd", "Nd", "Nd", "Sb", "Sb", "Sb", "Sb", "H", "H", "H", "H"], "fractional_positions": [[0.737, 0.081, 0.918], [0.263, 0.919, 0.082], [0.737, 0.419, 0.582], [0.263, 0.581, 0.418], [0.869, 0.489, 0.169], [0.131, 0.511, 0.831], [0.869, 0.011, 0.331], [0.131, 0.989, 0.669], [0.371, 0.085, 0.390], [0.629, 0.915, 0.610], [0.371, 0.415, 0.110], [0.629, 0.585, 0.890], [0.064, 0.618, 0.618], [0.936, 0.382, 0.382], [0.064, 0.882, 0.882], [0.936, 0.118, 0.118]]}



## ii
{"formula": "Nd2SbH", "functional": "GGA-PBE", "state": "relaxed", "magmom_total_mub_per_fu": 0.00, "spacegroup": "Cmmm", "lattice": [[4.309, 0.000, 0.000], [0.000, 6.963, -1.213], [0.000, -0.274, 7.062]], "species": ["Nd", "Nd", "Nd", "Nd", "Sb", "Sb", "H", "H"], "fractional_positions": [[0.000, 0.000, 0.500], [0.000, 0.000, 0.000], [0.000, 0.500, 0.000], [0.500, 0.500, 0.500], [0.500, 0.215, 0.785], [0.500, 0.785, 0.215], [0.000, 0.694, 0.694], [0.000, 0.306, 0.306]]}



So which one is most stable? That would be ii, about 4.4 kJ/mol of atoms below the next structure.